Record 1
VASP calculation (PBE-GGA) on a relaxed structure of Er2CS.

- space-group type = R-3m (166)
- N(E_F) (states/eV/f.u.) = 0.5
- magnetization (μB per formula unit) = 0.000
- ΔE_f (raw) (eV per atom) = -1.32

Lattice parameters (Å, degrees): 6.636 6.636 6.636 32.16 32.16 32.16
Atoms (fractional coordinates):
Er1 0.237 0.237 0.237
Er2 0.763 0.763 0.763
C1 0.500 0.500 0.500
S1 0.000 0.000 0.000

Record 2
VASP calculation (PBE-GGA) on a relaxed structure of Sc2TaAs.

- DFT total energy (eV for the cell shown) = -30.36
- space-group type = P4/mmm (123)
- N(E_F) (states/eV/f.u.) = 3.2
- magnetization (μB per formula unit) = 0.000

Lattice parameters (Å, degrees): 3.086 3.086 8.283 90.00 90.00 90.00
Atoms (fractional coordinates):
Sc1 0.000 0.000 0.232
Sc2 0.000 0.000 0.768
Ta1 0.500 0.500 0.500
As1 0.500 0.500 0.000